Density functional theory data (PBE) for crystalline Ba6MgZn5 at its relaxed geometry.

Cell and atoms, written as CIF:
```
data_Ba6MgZn5
_chemical_formula_sum 'Ba6 Mg1 Zn5'
_cell_length_a 5.871
_cell_length_b 8.294
_cell_length_c 9.290
_cell_angle_alpha 90.00
_cell_angle_beta 108.25
_cell_angle_gamma 90.00
_space_group_name_H-M_alt 'P 1 2/m 1'
_space_group_IT_number 10
_space_group_name_Hall '-P 2y'
loop_
_atom_site_label
_atom_site_fract_x
_atom_site_fract_y
_atom_site_fract_z
Ba1 0.000 0.238 0.000
Ba2 0.329 0.247 0.659
Mg1 0.500 0.500 0.000
Zn1 0.157 0.500 0.315
Zn2 0.166 0.000 0.333
Zn3 0.500 0.000 0.000
```

Properties
- DOS(E_F): 10.79 states/eV/cell
- Total DFT energy (no corrections): -1.761 eV per atom
- Formation energy from the elements: -0.14 eV per atom

---

Density functional theory data (PBE) for crystalline BaMg6Zn8 at its relaxed geometry.

Cell and atoms, written as CIF:
```
data_BaMg6Zn8
_chemical_formula_sum 'Ba3 Mg18 Zn24'
_cell_length_a 8.3769
_cell_length_b 8.3769
_cell_length_c 15.5059
_cell_angle_alpha 90.00
_cell_angle_beta 90.00
_cell_angle_gamma 120.00
_space_group_name_H-M_alt 'R -3'
_space_group_IT_number 148
_space_group_name_Hall '-R 3'
loop_
_atom_site_label
_atom_site_fract_x
_atom_site_fract_y
_atom_site_fract_z
Ba1 0.0000 0.0000 0.0000
Mg1 0.0078 0.2147 0.6170
Zn1 0.0000 0.0000 0.2314
Zn2 0.0094 0.3679 0.4616
```

Properties
- DOS(E_F): 26.02 states/eV/cell
- Total DFT energy (no corrections): -1.443 eV per atom
- Formation energy from the elements: 0.00 eV per atom

---

Density functional theory data (PBE) for crystalline BaMgZn at its relaxed geometry.

Cell and atoms, written as CIF:
```
data_BaMgZn
_chemical_formula_sum 'Ba4 Mg4 Zn4'
_cell_length_a 7.831
_cell_length_b 7.831
_cell_length_c 7.831
_cell_angle_alpha 90.00
_cell_angle_beta 90.00
_cell_angle_gamma 90.00
_space_group_name_H-M_alt 'F -4 3 m'
_space_group_IT_number 216
_space_group_name_Hall 'F -4 2 3'
loop_
_atom_site_label
_atom_site_fract_x
_atom_site_fract_y
_atom_site_fract_z
Ba1 0.000 0.000 0.000
Mg1 0.250 0.250 0.750
Zn1 0.250 0.250 0.250
```

Properties
- DOS(E_F): 14.15 states/eV/cell
- Total DFT energy (no corrections): -1.222 eV per atom
- Formation energy from the elements: 0.37 eV per atom

---

Density functional theory data (PBE) for crystalline Ba2Mg2Zn15 at its relaxed geometry.

Cell and atoms, written as CIF:
```
data_Ba2Mg2Zn15
_chemical_formula_sum 'Ba6 Mg6 Zn45'
_cell_length_a 9.4715
_cell_length_b 9.4715
_cell_length_c 13.8524
_cell_angle_alpha 90.00
_cell_angle_beta 90.00
_cell_angle_gamma 120.00
_space_group_name_H-M_alt 'R -3 m'
_space_group_IT_number 166
_space_group_name_Hall '-R 3 2"'
loop_
_atom_site_label
_atom_site_fract_x
_atom_site_fract_y
_atom_site_fract_z
Ba1 0.0000 0.0000 0.1556
Mg1 0.0000 0.0000 0.3969
Zn1 0.0000 0.2841 0.5000
Zn2 0.0000 0.5000 0.0000
Zn3 0.0009 0.5004 0.6553
```

Properties
- DOS(E_F): 22.23 states/eV/cell
- Total DFT energy (no corrections): -1.531 eV per atom
- Formation energy from the elements: -0.16 eV per atom

---

Density functional theory data (PBE) for crystalline Ba2Mg12Zn5 at its relaxed geometry.

Cell and atoms, written as CIF:
```
data_Ba2Mg12Zn5
_chemical_formula_sum 'Ba6 Mg36 Zn15'
_cell_length_a 10.2340
_cell_length_b 10.2340
_cell_length_c 14.8908
_cell_angle_alpha 90.00
_cell_angle_beta 90.00
_cell_angle_gamma 120.00
_space_group_name_H-M_alt 'R -3 m'
_space_group_IT_number 166
_space_group_name_Hall '-R 3 2"'
loop_
_atom_site_label
_atom_site_fract_x
_atom_site_fract_y
_atom_site_fract_z
Ba1 0.0000 0.0000 0.1617
Mg1 0.0000 0.2902 0.5000
Mg2 0.0193 0.5096 0.3464
Zn1 0.0000 0.0000 0.4099
Zn2 0.0000 0.5000 0.0000
```

Properties
- DOS(E_F): 26.64 states/eV/cell
- Total DFT energy (no corrections): -1.642 eV per atom
- Formation energy from the elements: -0.10 eV per atom

---

Density functional theory data (PBE) for crystalline Ba2Mg5Zn12 at its relaxed geometry.

Cell and atoms, written as CIF:
```
data_Ba2Mg5Zn12
_chemical_formula_sum 'Ba6 Mg15 Zn36'
_cell_length_a 9.6465
_cell_length_b 9.6465
_cell_length_c 14.3667
_cell_angle_alpha 90.00
_cell_angle_beta 90.00
_cell_angle_gamma 120.00
_space_group_name_H-M_alt 'R -3 m'
_space_group_IT_number 166
_space_group_name_Hall '-R 3 2"'
loop_
_atom_site_label
_atom_site_fract_x
_atom_site_fract_y
_atom_site_fract_z
Ba1 0.0000 0.0000 0.1561
Mg1 0.0000 0.0000 0.4006
Mg2 0.0000 0.5000 0.0000
Zn1 0.0000 0.2820 0.5000
Zn2 0.0083 0.5041 0.6561
```

Properties
- DOS(E_F): 24.17 states/eV/cell
- Total DFT energy (no corrections): -1.565 eV per atom
- Formation energy from the elements: -0.14 eV per atom

---

| no. | magnetization (μB per atom) |
| --- | --- |
| 1 | 0.00 |
| 2 | 0.00 |
| 3 | 0.00 |
| 4 | 0.00 |
| 5 | 0.00 |
| 6 | 0.00 |